No. 1
A plane-wave DFT calculation with PBE was carried out for a relaxed structure of Pu6Pt2Rh.

a = 7.989 Å, b = 7.989 Å, c = 2.732 Å
α = 90.00°, β = 90.00°, γ = 120.00°
Sites, in units of the cell vectors:
1 Pu 0.000 0.317 0.444
2 Pu 0.000 0.683 0.556
3 Pu 0.317 0.000 0.444
4 Pu 0.317 0.317 0.556
5 Pu 0.683 0.000 0.556
6 Pu 0.683 0.683 0.444
7 Pt 0.333 0.667 0.000
8 Pt 0.667 0.333 0.000
9 Rh 0.000 0.000 0.000

Properties
The energy above the lowest structure with this stoichiometry is 420 meV per atom. The total magnetic moment comes out at 0.002 μB per formula unit. The energy of formation is 0.2 eV/f.u.

***

No. 2
A plane-wave DFT calculation with PBE was carried out for a relaxed structure of AgP2W.

a = 5.369 Å, b = 5.369 Å, c = 5.369 Å
α = 147.48°, β = 122.10°, γ = 68.00°
Sites, in units of the cell vectors:
1 Ag 0.000 0.000 0.000
2 P 0.290 0.790 0.500
3 P 0.710 0.210 0.500
4 W 0.500 0.500 0.000

Properties
The energy above the lowest structure with this stoichiometry is 468 meV per atom. The total magnetic moment comes out at 0.000 μB per formula unit. The energy of formation is 2.0 eV/f.u. For the density of states at the Fermi level, the calculation gives 2.16 states/eV/f.u.

***

No. 3
A plane-wave DFT calculation with PBE was carried out for a relaxed structure of RbCa2TbCl8.

a = 6.449 Å, b = 8.791 Å, c = 6.672 Å
α = 90.00°, β = 90.72°, γ = 90.00°
Sites, in units of the cell vectors:
1 Rb 0.000 0.000 0.000
2 Ca 0.500 0.247 0.500
3 Ca 0.500 0.753 0.500
4 Tb 0.000 0.500 0.000
5 Cl 0.235 0.290 0.175
6 Cl 0.235 0.710 0.175
7 Cl 0.268 0.500 0.682
8 Cl 0.282 0.000 0.626
9 Cl 0.718 0.000 0.374
10 Cl 0.732 0.500 0.318
11 Cl 0.765 0.290 0.825
12 Cl 0.765 0.710 0.825

Properties
The value obtained for the uncorrected formation energy is -2260.8 meV/atom. The total magnetic moment comes out at 0.000 μB per formula unit. For the density of states at the Fermi level, the calculation gives 0.00 states/eV/f.u.

***

No. 4
A plane-wave DFT calculation with PBE was carried out for a relaxed structure of Cs6Mn3Br14.

a = 12.782 Å, b = 12.782 Å, c = 7.438 Å
α = 90.00°, β = 90.00°, γ = 120.00°
Sites, in units of the cell vectors:
1 Cs 0.049 0.586 0.000
2 Cs 0.283 0.080 0.473
3 Cs 0.414 0.462 0.000
4 Cs 0.538 0.951 0.000
5 Cs 0.797 0.717 0.473
6 Cs 0.920 0.203 0.473
7 Mn 0.000 0.000 0.905
8 Mn 0.333 0.667 0.427
9 Mn 0.667 0.333 0.241
10 Br 0.000 0.000 0.241
11 Br 0.057 0.851 0.785
12 Br 0.149 0.206 0.785
13 Br 0.191 0.461 0.303
14 Br 0.270 0.809 0.303
15 Br 0.333 0.667 0.763
16 Br 0.486 0.214 0.049
17 Br 0.539 0.730 0.303
18 Br 0.546 0.393 0.432
19 Br 0.607 0.153 0.432
20 Br 0.728 0.514 0.049
21 Br 0.786 0.272 0.049
22 Br 0.794 0.943 0.785
23 Br 0.847 0.454 0.432

Properties
The value obtained for the uncorrected formation energy is -1302.6 meV/atom. The total magnetic moment comes out at 13.000 μB per formula unit. For the density of states at the Fermi level, the calculation gives 11.27 states/eV/f.u.

***

No. 5
A plane-wave DFT calculation with PBE was carried out for a relaxed structure of SrPrZnAg.

a = 3.846 Å, b = 3.846 Å, c = 7.621 Å
α = 90.00°, β = 90.00°, γ = 90.00°
Sites, in units of the cell vectors:
1 Sr 0.000 0.000 0.000
2 Pr 0.000 0.000 0.489
3 Zn 0.500 0.500 0.275
4 Ag 0.500 0.500 0.721

Properties
The energy above the lowest structure with this stoichiometry is 0 meV per atom. The total magnetic moment comes out at 0.000 μB per formula unit. The energy of formation is -1.0 eV/f.u. For the density of states at the Fermi level, the calculation gives 3.79 states/eV/f.u.

***

No. 6
A plane-wave DFT calculation with PBE was carried out for a relaxed structure of NdHo2IO8.

a = 5.042 Å, b = 5.042 Å, c = 6.939 Å
α = 90.00°, β = 90.00°, γ = 90.27°
Sites, in units of the cell vectors:
1 Nd 0.000 0.000 0.000
2 Ho 0.500 0.500 0.249
3 Ho 0.500 0.500 0.751
4 I 0.000 0.000 0.500
5 O 0.184 0.184 0.298
6 O 0.184 0.184 0.702
7 O 0.267 0.733 0.500
8 O 0.317 0.683 0.000
9 O 0.683 0.317 0.000
10 O 0.733 0.267 0.500
11 O 0.816 0.816 0.298
12 O 0.816 0.816 0.702

Properties
The value obtained for the uncorrected formation energy is -2312.4 meV/atom. The total magnetic moment comes out at 0.000 μB per formula unit.

***

No. 7
A plane-wave DFT calculation with PBE was carried out for a relaxed structure of Cd3Si5Au12.

a = 13.143 Å, b = 13.143 Å, c = 13.143 Å
α = 109.47°, β = 109.47°, γ = 109.47°
Sites, in units of the cell vectors:
1 Cd 0.125 0.250 0.375
2 Cd 0.125 0.375 0.750
3 Cd 0.250 0.375 0.125
4 Cd 0.250 0.875 0.625
5 Cd 0.375 0.125 0.250
6 Cd 0.375 0.750 0.125
7 Cd 0.625 0.250 0.875
8 Cd 0.625 0.875 0.750
9 Cd 0.750 0.125 0.375
10 Cd 0.750 0.625 0.875
11 Cd 0.875 0.625 0.250
12 Cd 0.875 0.750 0.625
13 Si 0.000 0.000 0.000
14 Si 0.000 0.000 0.500
15 Si 0.000 0.500 0.000
16 Si 0.000 0.500 0.500
17 Si 0.125 0.750 0.875
18 Si 0.125 0.875 0.250
19 Si 0.250 0.125 0.875
20 Si 0.250 0.625 0.375
21 Si 0.375 0.250 0.625
22 Si 0.375 0.625 0.750
23 Si 0.500 0.000 0.000
24 Si 0.500 0.000 0.500
25 Si 0.500 0.500 0.000
26 Si 0.500 0.500 0.500
27 Si 0.625 0.375 0.250
28 Si 0.625 0.750 0.375
29 Si 0.750 0.375 0.625
30 Si 0.750 0.875 0.125
31 Si 0.875 0.125 0.750
32 Si 0.875 0.250 0.125
33 Au 0.044 0.214 0.126
34 Au 0.044 0.330 0.918
35 Au 0.082 0.626 0.412
36 Au 0.082 0.956 0.670
37 Au 0.088 0.714 0.670
38 Au 0.088 0.874 0.418
39 Au 0.126 0.044 0.214
40 Au 0.126 0.582 0.912
41 Au 0.170 0.214 0.588
42 Au 0.170 0.456 0.582
43 Au 0.214 0.126 0.044
44 Au 0.214 0.588 0.170
45 Au 0.286 0.330 0.912
46 Au 0.286 0.456 0.374
47 Au 0.330 0.912 0.286
48 Au 0.330 0.918 0.044
49 Au 0.374 0.286 0.456
50 Au 0.374 0.588 0.918
51 Au 0.412 0.082 0.626
52 Au 0.412 0.830 0.786
53 Au 0.418 0.088 0.874
54 Au 0.418 0.830 0.544
55 Au 0.456 0.374 0.286
56 Au 0.456 0.582 0.170
57 Au 0.544 0.418 0.830
58 Au 0.544 0.626 0.714
59 Au 0.582 0.170 0.456
60 Au 0.582 0.912 0.126
61 Au 0.588 0.170 0.214
62 Au 0.588 0.918 0.374
63 Au 0.626 0.412 0.082
64 Au 0.626 0.714 0.544
65 Au 0.670 0.082 0.956
66 Au 0.670 0.088 0.714
67 Au 0.714 0.544 0.626
68 Au 0.714 0.670 0.088
69 Au 0.786 0.412 0.830
70 Au 0.786 0.874 0.956
71 Au 0.830 0.544 0.418
72 Au 0.830 0.786 0.412
73 Au 0.874 0.418 0.088
74 Au 0.874 0.956 0.786
75 Au 0.912 0.126 0.582
76 Au 0.912 0.286 0.330
77 Au 0.918 0.044 0.330
78 Au 0.918 0.374 0.588
79 Au 0.956 0.670 0.082
80 Au 0.956 0.786 0.874

Properties
The value obtained for the uncorrected formation energy is 64.1 meV/atom. The total magnetic moment comes out at 0.000 μB per formula unit. For the density of states at the Fermi level, the calculation gives 5.60 states/eV/f.u.

***

No. 8
A plane-wave DFT calculation with PBE was carried out for a relaxed structure of K2OsO2F4.

a = 5.815 Å, b = 5.815 Å, c = 4.768 Å
α = 92.52°, β = 92.52°, γ = 63.05°
Sites, in units of the cell vectors:
1 K 0.163 0.163 0.299
2 K 0.837 0.837 0.701
3 Os 0.500 0.500 0.000
4 O 0.364 0.364 0.749
5 O 0.636 0.636 0.251
6 F 0.165 0.655 0.204
7 F 0.345 0.835 0.796
8 F 0.655 0.165 0.204
9 F 0.835 0.345 0.796

Properties
The value obtained for the uncorrected formation energy is -2033.5 meV/atom. The total magnetic moment comes out at 0.000 μB per formula unit.